[1]
A geometry-optimized Hg4O3F2 structure. Source: Alexandria, functional PBE.

a = 6.1950 Å, b = 7.5906 Å, c = 7.5906 Å
α = 103.10°, β = 84.51°, γ = 84.51°
Atoms (fractional coordinates):
Hg1 0.0550 0.4866 0.2581
O1 0.8332 0.7583 0.9158
F1 0.0846 0.2951 0.5253
Hg2 0.9450 0.5134 0.7419
Hg3 0.4780 0.2284 0.9562
Hg4 0.5550 0.2581 0.4866
O2 0.7500 0.2225 0.7775
F2 0.9154 0.7049 0.4747
Hg5 0.5220 0.7716 0.0438
F3 0.5846 0.5253 0.2951
Hg6 0.9780 0.9562 0.2284
Hg7 0.4450 0.7419 0.5134
F4 0.4154 0.4747 0.7049
O3 0.6668 0.0842 0.2417
O4 0.3332 0.9158 0.7583
Hg8 0.0220 0.0438 0.7716
O5 0.2500 0.7775 0.2225
O6 0.1668 0.2417 0.0842

Results
Density, kg/m³: 8588
E_tot, eV per atom: -2.84
Space group: C2/c
E_form (uncorrected), eV/atom: -0.638


[2]
A geometry-optimized SrHfI6 structure. Source: Alexandria, functional PBE.

a = 9.0549 Å, b = 7.5973 Å, c = 7.9639 Å
α = 98.24°, β = 106.77°, γ = 125.94°
Atoms (fractional coordinates):
I1 0.5657 0.8410 0.7028
Hf1 0.5000 0.0000 0.0000
I2 0.8629 0.1382 0.2972
I3 0.4343 0.1590 0.2972
I4 0.1371 0.8618 0.7028
I5 0.2626 0.5392 0.0000
I6 0.7374 0.4608 0.0000
Sr1 0.0000 0.0000 0.0000

Results
Density, kg/m³: 4391
E_tot, eV per atom: -3.77
Space group: C2/m
E_form (uncorrected), eV/atom: -1.153


[3]
A geometry-optimized TbHo2PuAs4 structure. Source: Alexandria, functional PBE.

a = 4.1247 Å, b = 7.1221 Å, c = 7.1255 Å
α = 70.54°, β = 90.00°, γ = 90.00°
Site moments in Bohr magnetons follow the coordinates.
Atoms (fractional coordinates):
As1 0.5000 0.2494 0.7489  -0.07
Ho1 0.0000 0.0000 0.0000  -0.03
Pu1 0.0000 0.5000 0.5000  5.01
As2 0.0000 0.7515 0.7482  -0.04
As3 0.0000 0.2485 0.2518  -0.04
Tb1 0.5000 0.5000 0.0000  0.02
Ho2 0.5000 0.0000 0.5000  0.01
As4 0.5000 0.7506 0.2511  -0.07

Results
Formation energy, eV per atom: -1.395
Density, kg/m³: 8687
E_tot, eV per atom: -7.23
Space group: P2/m


- Look up the E_tot of the third one.
  -7.23 eV per atom


Please write out number 3 again, unchanged.
A geometry-optimized TbHo2PuAs4 structure. Source: Alexandria, functional PBE.

a = 4.1247 Å, b = 7.1221 Å, c = 7.1255 Å
α = 70.54°, β = 90.00°, γ = 90.00°
Site moments in Bohr magnetons follow the coordinates.
Atoms (fractional coordinates):
As1 0.5000 0.2494 0.7489  -0.07
Ho1 0.0000 0.0000 0.0000  -0.03
Pu1 0.0000 0.5000 0.5000  5.01
As2 0.0000 0.7515 0.7482  -0.04
As3 0.0000 0.2485 0.2518  -0.04
Tb1 0.5000 0.5000 0.0000  0.02
Ho2 0.5000 0.0000 0.5000  0.01
As4 0.5000 0.7506 0.2511  -0.07

Results
Formation energy, eV per atom: -1.395
Density, kg/m³: 8687
E_tot, eV per atom: -7.23
Space group: P2/m